Record 1
Here is a geometry-optimized RbAl3Pt structure from Alexandria via LeMat-Bulk. Energies are from PBE.

Output
E above lowest polymorph: 0.0 meV/atom
Calculated formation energy: -0.132 eV per atom

a = 4.932 Å, b = 4.932 Å, c = 4.932 Å
α = 90.00°, β = 90.00°, γ = 90.00°
Positions (direct):
Al (0.500, 0.000, 0.000)
Al (0.000, 0.500, 0.000)
Al (0.000, 0.000, 0.500)
Pt (0.000, 0.000, 0.000)
Rb (0.500, 0.500, 0.500)

---

Record 2
Here is a geometry-optimized La2AlCr structure from Alexandria via LeMat-Bulk. Energies are from PBE.

Output
Calculated formation energy: 0.064 eV per atom

a = 6.261 Å, b = 6.261 Å, c = 5.162 Å
α = 65.63°, β = 65.63°, γ = 35.07°
Positions (direct):
La (0.977, 0.977, 0.023)
Al (0.541, 0.541, 0.459)
Cr (0.215, 0.215, 0.285)
La (0.767, 0.767, 0.733)

---

Record 3
Here is a geometry-optimized BaPaAu2O8 structure from Alexandria via LeMat-Bulk. Energies are from PBE.

Output
E_form (uncorrected): -1130 meV per atom

a = 6.421 Å, b = 6.421 Å, c = 6.421 Å
α = 108.76°, β = 108.76°, γ = 110.91°
Positions (direct):
O (0.284, 0.440, 0.156)
O (0.775, 0.062, 0.713)
Au (0.500, 0.500, 0.000)
O (0.348, 0.062, 0.287)
Ba (0.250, 0.750, 0.500)
O (0.938, 0.225, 0.287)
O (0.284, 0.128, 0.844)
O (0.938, 0.652, 0.713)
O (0.872, 0.716, 0.156)
Au (0.750, 0.250, 0.500)
O (0.560, 0.716, 0.844)
Pa (0.000, 0.000, 0.000)

---

Record 4
Here is a geometry-optimized Zn2TcAg structure from Alexandria via LeMat-Bulk. Energies are from PBE.

Output
E above lowest polymorph: 118.1 meV/atom
Calculated formation energy: 0.183 eV per atom

a = 9.395 Å, b = 9.395 Å, c = 9.395 Å
α = 16.98°, β = 16.98°, γ = 16.98°
Positions (direct):
Tc (0.746, 0.746, 0.746)
Ag (0.500, 0.500, 0.500)
Zn (0.251, 0.251, 0.251)
Zn (0.002, 0.002, 0.002)

---

Record 5
Here is a geometry-optimized Ta2Al2In structure from Alexandria via LeMat-Bulk. Energies are from PBE.

Output
E above lowest polymorph: 9.7 meV/atom
Calculated formation energy: 0.138 eV per atom

a = 7.012 Å, b = 7.012 Å, c = 3.608 Å
α = 90.00°, β = 90.00°, γ = 90.00°
Positions (direct):
Ta (0.828, 0.328, 0.500)
Al (0.125, 0.375, 0.000)
Al (0.875, 0.625, 0.000)
In (0.000, 0.000, 0.000)
Ta (0.672, 0.828, 0.500)
In (0.500, 0.500, 0.000)
Al (0.625, 0.125, 0.000)
Al (0.375, 0.875, 0.000)
Ta (0.172, 0.672, 0.500)
Ta (0.328, 0.172, 0.500)